1.
The following is a PBE calculation of AgPb5 after structural relaxation, from the Alexandria database.

```
6
Lattice="2.446 -7.305 0.000 2.446 7.305 0.000 0.000 0.000 4.896" Properties=species:S:1:pos:R:3 pbc="T T T"
Ag 0.000 0.000 0.000
Pb 2.446 4.953 2.448
Pb 2.446 2.330 0.000
Pb 2.446 0.000 2.448
Pb 2.446 -2.330 0.000
Pb 2.446 -4.953 2.448
```

Computed properties:
density of states at the Fermi level = 0.410 states/eV/atom
formation energy = 56 meV/atom
spin magnetization = 0.00 μB per atom
crystal system = orthorhombic
V = 175 Å³/cell

2.
The following is a PBE calculation of Ag6Pb after structural relaxation, from the Alexandria database.

```
7
Lattice="-3.709 3.709 3.709 3.709 -3.709 3.709 3.709 3.709 -3.709" Properties=species:S:1:pos:R:3 pbc="T T T"
Ag 3.709 1.855 0.000
Ag 3.709 0.000 1.855
Ag 1.855 3.709 0.000
Ag 1.855 0.000 3.709
Ag 0.000 3.709 1.855
Ag 0.000 1.855 3.709
Pb 0.000 0.000 0.000
```

Computed properties:
density of states at the Fermi level = 0.716 states/eV/atom
formation energy = 677 meV/atom
spin magnetization = 0.00 μB per atom
crystal system = cubic
V = 204 Å³/cell

3.
The following is a PBE calculation of AgPb5 after structural relaxation, from the Alexandria database.

```
12
Lattice="-3.655 3.655 6.795 3.655 -3.655 6.795 3.655 3.655 -6.795" Properties=species:S:1:pos:R:3 pbc="T T T"
Ag 0.000 0.000 3.398
Ag 0.000 0.000 10.193
Pb 0.000 0.000 0.000
Pb 4.812 1.157 -1.949
Pb 1.157 2.498 -1.949
Pb 4.812 1.157 1.949
Pb 1.157 2.498 1.949
Pb 0.000 0.000 6.795
Pb 2.498 1.157 4.846
Pb -1.157 2.498 4.846
Pb 2.498 1.157 8.745
Pb -1.157 2.498 8.745
```

Computed properties:
density of states at the Fermi level = 0.472 states/eV/atom
formation energy = 68 meV/atom
spin magnetization = 0.00 μB per atom
crystal system = tetragonal
V = 363 Å³/cell

4.
The following is a PBE calculation of AgPb4 after structural relaxation, from the Alexandria database.

```
5
Lattice="-4.577 4.577 1.705 4.577 -4.577 1.705 4.577 4.577 -1.705" Properties=species:S:1:pos:R:3 pbc="T T T"
Ag 0.000 0.000 0.000
Pb 5.333 2.052 0.000
Pb 2.052 3.821 0.000
Pb 2.525 0.756 1.705
Pb -0.756 2.525 1.705
```

Computed properties:
density of states at the Fermi level = 0.423 states/eV/atom
formation energy = 49 meV/atom
spin magnetization = 0.00 μB per atom
crystal system = tetragonal
V = 143 Å³/cell

5.
The following is a PBE calculation of Ag4Pb after structural relaxation, from the Alexandria database.

```
20
Lattice="-4.806 4.806 4.806 4.806 -4.806 4.806 4.806 4.806 -4.806" Properties=species:S:1:pos:R:3 pbc="T T T"
Ag 3.773 3.773 -3.773
Ag 3.377 0.000 0.000
Ag 6.235 0.000 0.000
Ag 3.773 -3.773 3.773
Ag 1.033 1.033 1.033
Ag 4.806 2.403 0.000
Ag 4.806 0.000 2.403
Ag 0.000 3.377 0.000
Ag 0.000 0.000 3.377
Ag 2.403 4.806 0.000
Ag 2.403 0.000 4.806
Ag 0.000 6.235 0.000
Ag 0.000 0.000 6.235
Ag 0.000 4.806 2.403
Ag 0.000 2.403 4.806
Ag -3.773 3.773 3.773
Pb 2.035 2.035 -2.035
Pb 2.035 -2.035 2.035
Pb -2.035 2.035 2.035
Pb 2.771 2.771 2.771
```

Computed properties:
density of states at the Fermi level = 0.325 states/eV/atom
formation energy = 178 meV/atom
spin magnetization = 0.00 μB per atom
crystal system = cubic
V = 444 Å³/cell

6.
The following is a PBE calculation of Ag4Pb3 after structural relaxation, from the Alexandria database.

```
7
Lattice="6.358 0.000 0.000 -3.179 5.506 0.000 0.000 0.000 5.257" Properties=species:S:1:pos:R:3 pbc="T T T"
Ag 0.000 0.000 1.307
Ag 0.000 0.000 3.949
Ag 0.000 3.671 0.000
Ag 3.179 1.835 0.000
Pb -1.589 2.753 2.628
Pb 3.179 0.000 2.628
Pb 1.589 2.753 2.628
```

Computed properties:
density of states at the Fermi level = 0.630 states/eV/atom
formation energy = 366 meV/atom
spin magnetization = 0.00 μB per atom
crystal system = hexagonal
V = 184 Å³/cell

What is the spin magnetization in the fifth record? 0.00 μB per atom

What is the density of states at the Fermi level in the fifth record? 0.325 states/eV/atom